The following is a PBE with a Hubbard U calculation of a relaxed structure of Li5Cu2Ni3O10, from Alexandria.

Energy above the most stable polymorph in this dataset = 0.00 kcal/mol of atoms
Total magnetic moment = 4.38 μB per formula unit

Cell lengths 5.025, 5.183, 7.649 Å; angles 104.98, 103.89, 101.99 degrees
Space group P-1 (No. 2)
Unique sites:
Li 0.000 0.000 0.000 x1
Li 0.120 0.213 0.719 x2
Li 0.297 0.597 0.096 x2
Cu 0.402 0.806 0.806 x2
Ni 0.199 0.398 0.398 x2
Ni 0.500 0.000 0.500 x1
O 0.071 0.601 0.835 x2
O 0.166 0.794 0.568 x2
O 0.281 0.024 0.261 x2
O 0.367 0.213 0.974 x2
O 0.459 0.354 0.624 x2